No. 1
## Li5Al (SCAN)

Data for a crystal of Li5Al relaxed with PBEsol.

Values from the calculation:
- volume (Å³/cell) = 210.9
- calculated formation energy (meV per atom) = -48
- offset from the most stable computed form (meV per atom) = 3
- final energy (eV per atom) = -3.331

abc: 10.710 2.835 7.252
angles: 90.00 106.71 90.00
Space group Cm (No. 8)
One atom of each set of equivalent atoms:
Li: 0.000 0.000 0.000 x2
Li: 0.054 0.000 0.628 x2
Li: 0.171 0.500 0.329 x2
Li: 0.319 0.000 0.685 x2
Li: 0.389 0.000 0.276 x2
Al: 0.221 0.500 0.957 x2

=====

No. 2
## TlIr2W (SCAN)

Data for a crystal of TlIr2W relaxed with PBEsol.

Values from the calculation:
- volume (Å³/cell) = 127.1
- calculated formation energy (meV per atom) = 465
- offset from the most stable computed form (meV per atom) = 38
- final energy (eV per atom) = -70.596

abc: 4.048 4.048 7.758
angles: 90.00 90.00 90.00
Space group I4/mmm (No. 139)
One atom of each set of equivalent atoms:
Tl: 0.000 0.000 0.000 x2
Ir: 0.000 0.500 0.250 x4
W: 0.000 0.000 0.500 x2

=====

No. 3
## Sc2Zn (SCAN)

Data for a crystal of Sc2Zn relaxed with PBEsol.

Values from the calculation:
- volume (Å³/cell) = 241.3
- calculated formation energy (meV per atom) = -250
- final energy (eV per atom) = -14.246

abc: 11.037 3.262 7.954
angles: 90.00 122.61 90.00
Space group C2/m (No. 12)
One atom of each set of equivalent atoms:
Sc: 0.095 0.000 0.349 x4
Sc: 0.150 0.500 0.048 x4
Zn: 0.127 0.500 0.666 x4

=====

No. 4
## TaTi2Ga2 (SCAN)

Data for a crystal of TaTi2Ga2 relaxed with PBEsol.

Values from the calculation:
- volume (Å³/cell) = 158.4
- calculated formation energy (meV per atom) = -453
- final energy (eV per atom) = -26.720

abc: 6.959 6.959 3.270
angles: 90.00 90.00 90.00
Space group P4/mbm (No. 127)
One atom of each set of equivalent atoms:
Ta: 0.000 0.000 0.000 x2
Ti: 0.177 0.323 0.500 x4
Ga: 0.125 0.625 0.000 x4